ErBeCo PBE optimized geometry; M_tot = 0.0 μB per cell; E above lowest polymorph = 55 meV/atom; VASP energy = -16.0 eV/f.u.
1.0
4.027 0.000 0.000
0.000 6.772 0.000
0.000 0.000 6.657
Co Be Er
4 4 4
direct
0.750 0.568 0.337
0.250 0.068 0.163
0.750 0.932 0.837
0.250 0.432 0.663
0.750 0.589 0.682
0.250 0.411 0.318
0.750 0.911 0.182
0.250 0.089 0.818
0.250 0.803 0.491
0.250 0.697 0.991
0.750 0.303 0.009
0.750 0.197 0.509